Model A:
The following is a DFT calculation (PBE) of crystalline BaY2Mn at its relaxed geometry.

```
BaY2Mn
1.0
3.6097 0.0000 0.0000
0.0000 3.6071 0.0211
0.0000 3.5452 9.9554
Ba Mn Y
1 1 2
Cartesian
1.8048 1.7881 2.4941 Ba
1.8048 5.3642 7.4824 Mn
0.0000 3.5518 9.1476 Y
0.0000 3.5694 5.7960 Y
```

Properties
V: 32.34 Å³/atom
DOS(E_F): 5.26 states/eV per cell



Model B:
The following is a DFT calculation (PBE) of crystalline BaY2Mn at its relaxed geometry.

```
BaY2Mn
1.0
6.1292 0.0053 0.0000
1.9339 5.8161 0.0000
-4.0316 -2.9107 3.5835
Ba Mn Y
1 1 2
Cartesian
4.0316 2.9107 0.0000 Ba
3.0646 0.0027 1.7917 Mn
0.0000 0.0000 0.0000 Y
0.9670 2.9081 1.7917 Y
```

Properties
V: 31.93 Å³/atom
DOS(E_F): 6.70 states/eV per cell



Least stable of them? model B.